1.
A relaxed CsCoSeBr2 crystal, computed with PBE.

Lattice parameters (Å, degrees): 5.564 5.564 4.669 90.00 90.00 90.00
Last column: magnetic moment on the atom in μB.
Element x y z (fractional)
Cs 0.500 0.500 0.500  0.01
Co 0.000 0.000 0.000  2.06
Se 0.000 0.000 0.500  0.40
Br 0.000 0.500 0.000  0.07
Br 0.500 0.000 0.000  0.07

Properties
Energy relative to the lowest polymorph listed for this composition in meV per atom: 0
E_form (uncorrected) in eV/f.u.: -2.91

---

2.
A relaxed HfThRePd crystal, computed with PBE.

Lattice parameters (Å, degrees): 4.881 4.881 4.881 60.00 60.00 60.00
Element x y z (fractional)
Re 0.500 0.500 0.500
Hf 0.250 0.250 0.250
Pd 0.000 0.000 0.000
Th 0.750 0.750 0.750

Properties
DFT total energy in eV per atom: -9.07

---

3.
A relaxed Rb3In4Hg2 crystal, computed with PBE.

Lattice parameters (Å, degrees): 5.146 7.351 10.576 71.45 75.63 69.56
Element x y z (fractional)
Rb 0.615 0.131 0.637
Rb 0.000 0.000 0.000
Rb 0.385 0.869 0.363
In 0.278 0.374 0.072
In 0.905 0.564 0.627
In 0.095 0.436 0.373
In 0.722 0.626 0.928
Hg 0.689 0.380 0.243
Hg 0.311 0.620 0.757

Properties
Energy relative to the lowest polymorph listed for this composition in meV per atom: 11

---

4.
A relaxed Pm2TaNbN5 crystal, computed with PBE.

Lattice parameters (Å, degrees): 3.374 6.952 10.629 90.00 90.00 104.04
Element x y z (fractional)
Pm 0.854 0.708 0.788
Pm 0.107 0.214 0.691
Pm 0.146 0.292 0.288
Pm 0.893 0.786 0.191
Ta 0.776 0.552 0.513
Ta 0.224 0.448 0.013
Nb 0.530 0.060 0.961
Nb 0.470 0.940 0.461
N 0.370 0.741 0.003
N 0.686 0.372 0.885
N 0.492 0.984 0.784
N 0.279 0.558 0.644
N 0.944 0.889 0.555
N 0.630 0.259 0.503
N 0.314 0.628 0.385
N 0.508 0.016 0.284
N 0.721 0.442 0.144
N 0.056 0.111 0.055

Properties
E_form (uncorrected) in eV/f.u.: -11.06

---

5.
A relaxed ScTc4Ir crystal, computed with PBE.

Lattice parameters (Å, degrees): 5.138 5.138 5.138 60.00 60.00 60.00
Element x y z (fractional)
Sc 0.000 0.000 0.000
Tc 0.877 0.374 0.374
Tc 0.374 0.374 0.877
Tc 0.374 0.877 0.374
Tc 0.374 0.374 0.374
Ir 0.750 0.750 0.750

Properties
DFT total energy in eV per atom: -9.40

---

6.
A relaxed Tb7Cd2Sn2 crystal, computed with PBE.

Lattice parameters (Å, degrees): 6.819 7.910 6.819 90.00 110.68 90.00
Element x y z (fractional)
Tb 0.000 0.293 0.500
Tb 0.500 0.707 0.000
Tb 0.000 0.707 0.500
Tb 0.500 0.293 0.000
Tb 0.000 0.000 0.000
Tb 0.500 0.753 0.500
Tb 0.500 0.247 0.500
Cd 0.716 0.000 0.284
Cd 0.284 0.000 0.716
Sn 0.814 0.500 0.814
Sn 0.186 0.500 0.186

Properties
DFT total energy in eV per atom: -3.90

---

7.
A relaxed Sb5Pb3Au12 crystal, computed with PBE.

Lattice parameters (Å, degrees): 14.103 14.103 14.103 109.47 109.47 109.47
Element x y z (fractional)
Pb 0.750 0.375 0.125
Pb 0.875 0.750 0.125
Pb 0.375 0.750 0.625
Pb 0.250 0.125 0.375
Pb 0.875 0.125 0.250
Pb 0.375 0.625 0.250
Pb 0.625 0.375 0.750
Pb 0.125 0.875 0.750
Pb 0.750 0.875 0.625
Pb 0.625 0.250 0.375
Pb 0.125 0.250 0.875
Pb 0.250 0.625 0.875
Sb 0.125 0.375 0.250
Sb 0.000 0.500 0.000
Sb 0.000 0.000 0.000
Sb 0.375 0.250 0.125
Sb 0.500 0.000 0.500
Sb 0.500 0.500 0.000
Sb 0.125 0.750 0.375
Sb 0.750 0.125 0.875
Sb 0.750 0.625 0.375
Sb 0.375 0.125 0.750
Sb 0.625 0.875 0.250
Sb 0.500 0.500 0.500
Sb 0.500 0.000 0.000
Sb 0.000 0.000 0.500
Sb 0.250 0.375 0.625
Sb 0.250 0.875 0.125
Sb 0.000 0.500 0.500
Sb 0.875 0.250 0.625
Sb 0.625 0.750 0.875
Sb 0.875 0.625 0.750
Au 0.726 0.139 0.060
Au 0.333 0.560 0.421
Au 0.940 0.361 0.274
Au 0.560 0.226 0.139
Au 0.588 0.726 0.667
Au 0.940 0.579 0.167
Au 0.333 0.774 0.412
Au 0.079 0.912 0.139
Au 0.579 0.940 0.667
Au 0.726 0.588 0.167
Au 0.774 0.440 0.361
Au 0.833 0.921 0.060
Au 0.139 0.726 0.560
Au 0.361 0.421 0.088
Au 0.088 0.921 0.361
Au 0.412 0.139 0.579
Au 0.088 0.167 0.226
Au 0.440 0.667 0.079
Au 0.833 0.912 0.274
Au 0.139 0.412 0.079
Au 0.361 0.940 0.774
Au 0.579 0.639 0.412
Au 0.921 0.833 0.560
Au 0.774 0.333 0.912
Au 0.421 0.361 0.588
Au 0.079 0.167 0.440
Au 0.226 0.667 0.088
Au 0.167 0.088 0.726
Au 0.639 0.060 0.226
Au 0.861 0.588 0.921
Au 0.560 0.333 0.921
Au 0.588 0.861 0.421
Au 0.912 0.833 0.774
Au 0.912 0.079 0.639
Au 0.861 0.274 0.440
Au 0.167 0.079 0.940
Au 0.639 0.579 0.912
Au 0.421 0.060 0.333
Au 0.274 0.412 0.833
Au 0.226 0.560 0.639
Au 0.921 0.088 0.861
Au 0.667 0.226 0.588
Au 0.440 0.774 0.861
Au 0.060 0.421 0.833
Au 0.412 0.274 0.333
Au 0.060 0.639 0.726
Au 0.667 0.440 0.579
Au 0.274 0.861 0.940

Properties
E_form (uncorrected) in eV/f.u.: 1.98

---

8.
A relaxed Er6TlIn6 crystal, computed with PBE.

Lattice parameters (Å, degrees): 6.312 6.312 10.445 90.00 90.00 120.00
Element x y z (fractional)
Er 0.000 0.000 0.676
Er 0.000 0.000 0.324
Er 0.333 0.667 0.000
Er 0.667 0.333 0.000
Er 0.333 0.667 0.500
Er 0.667 0.333 0.500
Tl 0.000 0.000 0.000
In 0.000 0.500 0.750
In 0.500 0.000 0.750
In 0.500 0.500 0.750
In 0.500 0.000 0.250
In 0.000 0.500 0.250
In 0.500 0.500 0.250

Properties
DFT total energy in eV per atom: -3.83

---

9.
A relaxed PaCd2Hg crystal, computed with PBE.

Lattice parameters (Å, degrees): 3.170 3.170 11.016 81.73 81.73 60.00
Element x y z (fractional)
Pa 0.500 0.500 0.500
Cd 0.080 0.080 0.759
Cd 0.253 0.253 0.241
Hg 0.667 0.667 0.000

Properties
Energy relative to the lowest polymorph listed for this composition in meV per atom: 0

---

10.
A relaxed Pr4Mg5Cu2 crystal, computed with PBE.

Lattice parameters (Å, degrees): 3.606 8.098 10.147 93.38 90.00 90.00
Element x y z (fractional)
Pr 0.500 0.765 0.551
Pr 0.500 0.158 0.860
Pr 0.500 0.235 0.449
Pr 0.500 0.842 0.140
Mg 0.000 0.558 0.308
Mg 0.000 0.193 0.160
Mg 0.000 0.500 0.000
Mg 0.000 0.807 0.840
Mg 0.000 0.442 0.692
Cu 0.000 0.058 0.629
Cu 0.000 0.942 0.371

Properties
DFT total energy in eV per atom: -3.28

---

11.
A relaxed BaCo2Pb crystal, computed with PBE.

Lattice parameters (Å, degrees): 3.321 3.323 8.091 90.00 90.00 90.00
Last column: magnetic moment on the atom in μB.
Element x y z (fractional)
Ba 0.500 0.500 0.794  -0.05
Co 0.000 0.000 0.089  1.64
Co 0.500 0.500 0.195  1.65
Pb 0.000 0.000 0.423  -0.03

Properties
Energy relative to the lowest polymorph listed for this composition in meV per atom: 267

---

12.
A relaxed La8ZnAu3I4 crystal, computed with PBE.

Lattice parameters (Å, degrees): 8.871 9.346 8.882 118.44 119.96 90.00
Element x y z (fractional)
La 0.240 0.719 0.979
La 0.240 0.719 0.480
La 0.262 0.287 0.524
La 0.739 0.719 0.979
La 0.261 0.281 0.021
La 0.738 0.713 0.476
La 0.760 0.281 0.520
La 0.760 0.281 0.021
Zn 0.000 0.500 0.000
Au 0.500 0.500 0.000
Au 0.500 0.500 0.500
Au 0.000 0.500 0.500
I 0.500 0.000 0.000
I 0.500 0.000 0.500
I 0.000 0.000 0.000
I 0.000 0.000 0.500

Properties
E_form (uncorrected) in eV/f.u.: -13.28

---

Number 1: total magnetization 2.94 μB per cell. Number 2: total magnetization 0.00 μB per cell. Number 3: total magnetization 0.00 μB per cell. Number 4: total magnetization 0.00 μB per cell. Number 5: total magnetization 0.00 μB per cell. Number 6: total magnetization 0.00 μB per cell. Number 7: total magnetization 0.00 μB per cell. Number 8: total magnetization 0.00 μB per cell. Number 9: total magnetization 0.00 μB per cell. Number 10: total magnetization 0.00 μB per cell. Number 11: total magnetization 3.08 μB per cell. Number 12: total magnetization 0.00 μB per cell.